Entry 1:
DFT (PBE-GGA) results for a geometry-optimized Ca3Bi3H structure. Values from VASP.

Quantum ESPRESSO input file:
```
&SYSTEM
  ibrav = 0, nat = 14, ntyp = 3
/
ATOMIC_SPECIES
Ca 40.08 Ca.upf
H 1.01 H.upf
Bi 208.98 Bi.upf
CELL_PARAMETERS angstrom
6.8139 0.6720 -0.0755
-2.4340 6.3998 -0.0755
-0.7646 -1.2345 8.7736
ATOMIC_POSITIONS crystal
Ca 0.0804 0.4336 0.2490
H 0.8640 0.8640 0.8591
Ca 0.1513 0.1513 0.8831
Ca 0.8487 0.8487 0.1169
Bi 0.3572 0.3572 0.5844
Ca 0.4336 0.0804 0.2490
Ca 0.5664 0.9196 0.7510
Bi 0.3145 0.6855 0.0000
Bi 0.6855 0.3145 0.0000
Bi 0.6428 0.6428 0.4156
H 0.1360 0.1360 0.1409
Ca 0.9196 0.5664 0.7510
Bi 0.1464 0.8536 0.5000
Bi 0.8536 0.1464 0.5000
```

Calculated values
DFT total energy	-0.13270	hartree per atom
volume	395.8	Å³/cell
total magnetization	0.0	Bohr magnetons per cell


Entry 2:
DFT (PBE-GGA) results for a geometry-optimized K6I3Cl2O structure. Values from VASP.

Quantum ESPRESSO input file:
```
&SYSTEM
  ibrav = 0, nat = 12, ntyp = 4
/
ATOMIC_SPECIES
Cl 35.45 Cl.upf
K 39.10 K.upf
I 126.90 I.upf
O 16.00 O.upf
CELL_PARAMETERS angstrom
-0.7795 2.1607 -7.8487
-1.5352 -7.7030 2.2771
-6.5600 3.6690 3.0845
ATOMIC_POSITIONS crystal
Cl 0.3335 0.6665 0.0000
K 0.9302 0.6115 0.7905
K 0.0698 0.3885 0.2095
I 0.5000 0.5000 0.5000
I 0.1689 0.8311 0.5000
K 0.2501 0.2501 0.7878
K 0.6115 0.9302 0.7905
I 0.8311 0.1689 0.5000
O 0.0000 0.0000 0.0000
K 0.3885 0.0698 0.2095
K 0.7499 0.7499 0.2122
Cl 0.6665 0.3335 0.0000
```

Calculated values
DFT total energy	-0.11451	hartree per atom
volume	443.8	Å³/cell
E_form (uncorrected)	-1.459	eV/atom
total magnetization	1.0	Bohr magnetons per cell


Entry 3:
DFT (PBE-GGA) results for a geometry-optimized BaZn2Pb structure. Values from VASP.

Quantum ESPRESSO input file:
```
&SYSTEM
  ibrav = 0, nat = 4, ntyp = 3
/
ATOMIC_SPECIES
Pb 207.20 Pb.upf
Zn 65.41 Zn.upf
Ba 137.33 Ba.upf
CELL_PARAMETERS angstrom
3.8754 0.0100 0.0000
-0.0090 3.8754 0.0000
0.0000 0.0000 7.5544
ATOMIC_POSITIONS crystal
Pb 0.5000 0.5000 0.7500
Zn 0.0000 0.0000 0.9583
Ba 0.5000 0.5000 0.2500
Zn 0.0000 0.0000 0.5417
```

Calculated values
DFT total energy	-0.07816	hartree per atom
volume	113.5	Å³/cell
formation energy	-0.0820	eV/atom
total magnetization	0.0	Bohr magnetons per cell


Entry 4:
DFT (PBE-GGA) results for a geometry-optimized Os8Au structure. Values from VASP.

Quantum ESPRESSO input file:
```
&SYSTEM
  ibrav = 0, nat = 9, ntyp = 2
/
ATOMIC_SPECIES
Os 190.23 Os.upf
Au 196.97 Au.upf
CELL_PARAMETERS angstrom
4.8771 3.1715 -2.0213
-5.1032 0.4354 3.4203
3.1392 -3.4462 4.0248
ATOMIC_POSITIONS crystal
Os 0.0000 0.6586 0.6586
Os 0.6745 0.3255 0.0000
Os 0.6745 0.6745 0.3491
Os 0.0000 0.3414 0.3414
Au 0.0000 0.0000 0.0000
Os 0.3255 0.3255 0.6509
Os 0.6586 0.0000 0.6586
Os 0.3414 0.0000 0.3414
Os 0.3255 0.6745 0.0000
```

Calculated values
DFT total energy	-0.37070	hartree per atom
volume	132.4	Å³/cell
formation energy	0.2588	eV/atom
total magnetization	0.0	Bohr magnetons per cell